Record 1
Tm5Pt4: relaxed, GGA-PBEsol.

Cell lengths 7.300, 7.387, 14.225 Å; angles 90.00, 90.00, 90.00 degrees
Element x y z (fractional)
Tm1 0.184 0.490 0.750
Tm2 0.497 0.679 0.092
Tm3 0.997 0.821 0.092
Tm4 0.847 0.667 0.623
Tm5 0.347 0.833 0.623
Tm6 0.003 0.179 0.592
Tm7 0.653 0.167 0.377
Tm8 0.153 0.333 0.377
Tm9 0.316 0.990 0.250
Tm10 0.003 0.179 0.908
Tm11 0.847 0.667 0.877
Tm12 0.503 0.321 0.908
Tm13 0.997 0.821 0.408
Tm14 0.347 0.833 0.877
Tm15 0.684 0.010 0.750
Tm16 0.653 0.167 0.123
Tm17 0.503 0.321 0.592
Tm18 0.153 0.333 0.123
Tm19 0.816 0.510 0.250
Tm20 0.497 0.679 0.408
Pt1 0.050 0.890 0.750
Pt2 0.686 0.966 0.541
Pt3 0.450 0.390 0.250
Pt4 0.950 0.110 0.250
Pt5 0.678 0.855 0.250
Pt6 0.314 0.034 0.041
Pt7 0.822 0.355 0.750
Pt8 0.814 0.466 0.041
Pt9 0.314 0.034 0.459
Pt10 0.550 0.610 0.750
Pt11 0.686 0.966 0.959
Pt12 0.178 0.645 0.250
Pt13 0.322 0.145 0.750
Pt14 0.186 0.534 0.541
Pt15 0.814 0.466 0.459
Pt16 0.186 0.534 0.959

## Properties
- E: -252.00 eV/cell
- SG: No. 62

Record 2
KSBrN2: relaxed, GGA-PBEsol.

Cell lengths 4.341, 4.341, 4.976 Å; angles 90.00, 90.00, 90.00 degrees
Last column: magnetic moment on the atom in μB.
Element x y z (fractional)
Br1 0.000 0.000 0.000  -0.06
K1 0.500 0.500 0.500  0.00
N1 0.500 0.000 0.000  0.91
N2 0.000 0.500 0.000  0.91
S1 0.000 0.000 0.500  0.16

## Properties
- E: -16.77 eV/cell
- SG: No. 123
- Formation energy from raw total energies: 7.67 eV/f.u.

Record 3
In2SnAuBr: relaxed, GGA-PBEsol.

Cell lengths 5.214, 5.214, 5.425 Å; angles 90.00, 90.00, 90.00 degrees
Element x y z (fractional)
Sn1 0.500 0.500 0.500
In1 0.000 0.500 0.000
In2 0.500 0.000 0.000
Au1 0.000 0.000 0.000
Br1 0.000 0.000 0.500

## Properties
- E: -14.86 eV/cell
- SG: No. 123
- Formation energy from raw total energies: 1.16 eV/f.u.

Record 4
NaY3O: relaxed, GGA-PBEsol.

Cell lengths 4.841, 4.841, 4.841 Å; angles 90.00, 90.00, 90.00 degrees
Element x y z (fractional)
Y1 0.500 0.000 0.000
Y2 0.000 0.500 0.000
Y3 0.000 0.000 0.500
Na1 0.500 0.500 0.500
O1 0.000 0.000 0.000

## Properties
- E: -31.77 eV/cell
- SG: No. 221
- Formation energy from raw total energies: -4.65 eV/f.u.

Record 5
CdCo2Ni: relaxed, GGA-PBEsol.

Cell lengths 2.674, 2.674, 6.999 Å; angles 90.00, 90.00, 90.00 degrees
Last column: magnetic moment on the atom in μB.
Element x y z (fractional)
Co1 0.000 0.000 0.213  1.50
Co2 0.000 0.000 0.787  1.50
Cd1 0.500 0.500 0.500  -0.04
Ni1 0.500 0.500 0.000  0.78

## Properties
- E: -21.78 eV/cell
- SG: No. 123
- Distance to the lowest polymorph of the same formula: 0 meV per atom

Record 6
MnCoSe2: relaxed, GGA-PBEsol.

Cell lengths 3.626, 3.624, 5.546 Å; angles 89.94, 90.00, 90.00 degrees
Last column: magnetic moment on the atom in μB.
Element x y z (fractional)
Mn1 0.500 0.125 0.625  0.06
Se1 0.500 0.625 0.373  0.00
Se2 0.000 0.125 0.877  0.00
Co1 0.000 0.625 0.625  -0.03

## Properties
- E: -26.48 eV/cell
- SG: No. 115
- Distance to the lowest polymorph of the same formula: 0 meV per atom
- Formation energy from raw total energies: -1.28 eV/f.u.

Record 7
Rb2NiH12Se2O14: relaxed, GGA-PBEsol.

Cell lengths 6.332, 9.144, 12.401 Å; angles 90.00, 90.00, 104.77 degrees
Last column: magnetic moment on the atom in μB.
Element x y z (fractional)
O1 0.963 0.871 0.820  0.00
O2 0.963 0.371 0.680  0.00
O3 0.160 0.656 0.888  0.05
O4 0.590 0.259 0.562  0.00
O5 0.840 0.844 0.388  0.05
O6 0.840 0.344 0.112  0.05
O7 0.025 0.330 0.893  0.05
O8 0.975 0.170 0.393  0.05
O9 0.226 0.941 0.061  0.00
O10 0.708 0.501 0.939  0.06
O11 0.427 0.580 0.258  0.00
O12 0.774 0.559 0.561  0.00
O13 0.025 0.830 0.607  0.05
O14 0.590 0.759 0.938  0.00
O15 0.427 0.080 0.242  0.00
O16 0.774 0.059 0.939  0.00
O17 0.573 0.420 0.742  0.00
O18 0.975 0.670 0.107  0.05
O19 0.708 0.001 0.561  0.06
O20 0.410 0.741 0.438  0.00
O21 0.573 0.920 0.758  0.00
O22 0.037 0.129 0.180  0.00
O23 0.292 0.499 0.061  0.06
O24 0.292 0.999 0.439  0.06
O25 0.037 0.629 0.320  0.00
O26 0.226 0.441 0.439  0.00
O27 0.410 0.241 0.062  0.00
O28 0.160 0.156 0.612  0.05
H1 0.078 0.771 0.091  0.00
H2 0.913 0.260 0.126  0.00
H3 0.087 0.240 0.626  0.00
H4 0.335 0.902 0.447  0.00
H5 0.005 0.145 0.316  0.00
H6 0.913 0.760 0.374  0.00
H7 0.078 0.271 0.409  0.00
H8 0.677 0.971 0.639  0.00
H9 0.687 0.798 0.412  0.00
H10 0.323 0.529 0.139  0.00
H11 0.087 0.740 0.874  0.00
H12 0.995 0.355 0.816  0.00
H13 0.922 0.229 0.909  0.00
H14 0.323 0.029 0.361  0.00
H15 0.313 0.702 0.912  0.00
H16 0.677 0.471 0.861  0.00
H17 0.335 0.402 0.053  0.00
H18 0.665 0.098 0.553  0.00
H19 0.995 0.855 0.684  0.00
H20 0.665 0.598 0.947  0.00
H21 0.922 0.729 0.591  0.00
H22 0.687 0.298 0.088  0.00
H23 0.005 0.645 0.184  0.00
H24 0.313 0.202 0.588  0.00
Ni1 0.000 0.500 0.000  1.66
Ni2 0.000 0.000 0.500  1.66
Rb1 0.337 0.636 0.657  0.00
Rb2 0.663 0.864 0.157  0.00
Rb3 0.337 0.136 0.843  0.00
Rb4 0.663 0.364 0.343  0.00
Se1 0.272 0.096 0.137  0.00
Se2 0.728 0.904 0.863  0.00
Se3 0.728 0.404 0.637  0.00
Se4 0.272 0.596 0.363  0.00

## Properties
- E: -324.63 eV/cell
- SG: No. 14

Record 8
TaRhF3: relaxed, GGA-PBEsol.

Cell lengths 4.061, 4.061, 4.061 Å; angles 90.00, 90.00, 90.00 degrees
Last column: magnetic moment on the atom in μB.
Element x y z (fractional)
F1 0.000 0.500 0.000  0.00
F2 0.000 0.000 0.500  0.00
F3 0.500 0.000 0.000  0.00
Ta1 0.000 0.000 0.000  -0.15
Rh1 0.500 0.500 0.500  0.27

## Properties
- E: -31.16 eV/cell
- SG: No. 221
- Formation energy from raw total energies: -4.69 eV/f.u.

| no. | M_tot (μB per cell) |
| --- | --- |
| 1 | 0.0 |
| 2 | 2.8 |
| 3 | 0.0 |
| 4 | 0.0 |
| 5 | 3.6 |
| 6 | 0.0 |
| 7 | 4.1 |
| 8 | 0.1 |